VASP calculation (GGA-PBE) on an optimized crystal structure of YMnCr2.

Summary:
- magnetization (μB per cell) = 7.527
- total DFT energy (no corrections) (eV per atom) = -8.162
- energy relative to the elements (kJ/mol of formula units) = 215
- energy above the lowest structure with this stoichiometry (eV/atom) = 0.2687

Cell lengths 3.205, 4.879, 8.910 Å; angles 90.00, 90.00, 90.00 degrees
Space group Immm (No. 71)
One atom of each set of equivalent atoms:
Y  0.000  0.000  0.000 x2
Mn  0.000  0.000  0.500 x2
Cr  0.000  0.500  0.208 x4

=====

VASP calculation (GGA-PBE) on an optimized crystal structure of YMnCr2.

Summary:
- magnetization (μB per cell) = 0.000
- total DFT energy (no corrections) (eV per atom) = -8.274
- energy relative to the elements (kJ/mol of formula units) = 172
- energy above the lowest structure with this stoichiometry (eV/atom) = 0.1569

Cell lengths 2.971, 3.414, 6.419 Å; angles 90.00, 97.74, 90.00 degrees
Space group P2/m (No. 10)
One atom of each set of equivalent atoms:
Y  0.000  0.000  0.000 x1
Mn  0.000  0.000  0.500 x1
Cr  0.433  0.500  0.659 x2

=====

VASP calculation (GGA-PBE) on an optimized crystal structure of YMnCr2.

Summary:
- magnetization (μB per cell) = 0.000
- total DFT energy (no corrections) (eV per atom) = -8.389
- energy relative to the elements (kJ/mol of formula units) = 128
- energy above the lowest structure with this stoichiometry (eV/atom) = 0.0419

Cell lengths 7.193, 3.786, 5.658 Å; angles 90.00, 114.42, 90.00 degrees
Space group Cm (No. 8)
One atom of each set of equivalent atoms:
Y  0.000  0.000  0.000 x2
Mn  0.303  0.500  0.430 x2
Cr  0.188  0.000  0.583 x2
Cr  0.480  0.000  0.456 x2

=====

VASP calculation (GGA-PBE) on an optimized crystal structure of YMnCr2.

Summary:
- magnetization (μB per cell) = 1.246
- total DFT energy (no corrections) (eV per atom) = -8.291
- energy relative to the elements (kJ/mol of formula units) = 166
- energy above the lowest structure with this stoichiometry (eV/atom) = 0.1405

Cell lengths 2.952, 3.722, 6.045 Å; angles 90.00, 102.76, 90.00 degrees
Space group Pm (No. 6)
One atom of each set of equivalent atoms:
Y  0.000  0.000  0.000 x1
Mn  0.398  0.500  0.676 x1
Cr  0.009  0.000  0.504 x1
Cr  0.610  0.500  0.335 x1

=====

VASP calculation (GGA-PBE) on an optimized crystal structure of YMnCr2.

Summary:
- magnetization (μB per cell) = 10.314
- total DFT energy (no corrections) (eV per atom) = -8.068
- energy relative to the elements (kJ/mol of formula units) = 252
- energy above the lowest structure with this stoichiometry (eV/atom) = 0.3630

Cell lengths 3.0451, 3.0451, 25.4794 Å; angles 90.00, 90.00, 120.00 degrees
Space group R3m (No. 160, hexagonal axes)
One atom of each set of equivalent atoms:
Y  0.0000  0.0000  0.0000 x3
Mn  0.0000  0.0000  0.2337 x3
Cr  0.0000  0.0000  0.4963 x3
Cr  0.0000  0.0000  0.7660 x3

=====

VASP calculation (GGA-PBE) on an optimized crystal structure of Y2MnCr.

Summary:
- magnetization (μB per cell) = 0.453
- total DFT energy (no corrections) (eV per atom) = -7.680
- energy relative to the elements (kJ/mol of formula units) = 97
- energy above the lowest structure with this stoichiometry (eV/atom) = 0.0851

Cell lengths 3.214, 3.214, 8.410 Å; angles 90.00, 90.00, 90.00 degrees
Space group P4mm (No. 99)
One atom of each set of equivalent atoms:
Y  0.000  0.000  0.000 x1
Y  0.500  0.500  0.361 x1
Mn  0.500  0.500  0.739 x1
Cr  0.000  0.000  0.623 x1

=====

VASP calculation (GGA-PBE) on an optimized crystal structure of YMnCr.

Summary:
- magnetization (μB per cell) = 0.325
- total DFT energy (no corrections) (eV per atom) = -7.799
- energy relative to the elements (kJ/mol of formula units) = 179
- energy above the lowest structure with this stoichiometry (eV/atom) = 0.3393

Cell lengths 3.2585, 3.2585, 6.2966 Å; angles 90.00, 90.00, 120.00 degrees
Space group P3m1 (No. 156)
One atom of each set of equivalent atoms:
Y  0.0000  0.0000  0.0000 x1
Mn  0.3333  0.6667  0.6106 x1
Cr  0.6667  0.3333  0.3923 x1

=====

VASP calculation (GGA-PBE) on an optimized crystal structure of Y2MnCr.

Summary:
- magnetization (μB per cell) = 12.919
- total DFT energy (no corrections) (eV per atom) = -7.487
- energy relative to the elements (kJ/mol of formula units) = 171
- energy above the lowest structure with this stoichiometry (eV/atom) = 0.2778

Cell lengths 4.315, 4.315, 9.725 Å; angles 90.00, 90.00, 90.00 degrees
Space group I-4m2 (No. 119)
One atom of each set of equivalent atoms:
Y  0.000  0.000  0.000 x2
Y  0.000  0.500  0.250 x2
Mn  0.000  0.000  0.500 x2
Cr  0.000  0.500  0.750 x2

=====

VASP calculation (GGA-PBE) on an optimized crystal structure of YMn3Cr.

Summary:
- magnetization (μB per cell) = 6.077
- total DFT energy (no corrections) (eV per atom) = -6.950
- energy relative to the elements (kJ/mol of formula units) = 854
- energy above the lowest structure with this stoichiometry (eV/atom) = 1.2399

Cell lengths 4.869, 4.869, 4.869 Å; angles 90.00, 90.00, 90.00 degrees
Space group Pm-3m (No. 221)
One atom of each set of equivalent atoms:
Y  0.000  0.000  0.000 x1
Mn  0.000  0.000  0.500 x3
Cr  0.500  0.500  0.500 x1

=====

VASP calculation (GGA-PBE) on an optimized crystal structure of Y2MnCr.

Summary:
- magnetization (μB per cell) = 0.275
- total DFT energy (no corrections) (eV per atom) = -7.692
- energy relative to the elements (kJ/mol of formula units) = 92
- energy above the lowest structure with this stoichiometry (eV/atom) = 0.0732

Cell lengths 3.486, 4.891, 10.318 Å; angles 90.00, 90.00, 90.00 degrees
Space group Imm2 (No. 44)
One atom of each set of equivalent atoms:
Y  0.000  0.000  0.000 x2
Y  0.000  0.500  0.225 x2
Mn  0.000  0.000  0.438 x2
Cr  0.000  0.500  0.791 x2

=====

VASP calculation (GGA-PBE) on an optimized crystal structure of YMnCr2.

Summary:
- magnetization (μB per cell) = 8.601
- total DFT energy (no corrections) (eV per atom) = -7.992
- energy relative to the elements (kJ/mol of formula units) = 281
- energy above the lowest structure with this stoichiometry (eV/atom) = 0.4386

Cell lengths 4.084, 4.084, 4.136 Å; angles 90.00, 90.00, 90.00 degrees
Space group P4/mmm (No. 123)
One atom of each set of equivalent atoms:
Y  0.000  0.000  0.000 x1
Mn  0.500  0.500  0.000 x1
Cr  0.000  0.500  0.500 x2

=====

VASP calculation (GGA-PBE) on an optimized crystal structure of Y2MnCr.

Summary:
- magnetization (μB per cell) = 33.235
- total DFT energy (no corrections) (eV per atom) = -7.405
- energy relative to the elements (kJ/mol of formula units) = 203
- energy above the lowest structure with this stoichiometry (eV/atom) = 0.3601

Cell lengths 7.152, 7.152, 7.152 Å; angles 90.00, 90.00, 90.00 degrees
Space group F-43m (No. 216)
One atom of each set of equivalent atoms:
Y  0.000  0.000  0.000 x4
Y  0.250  0.250  0.250 x4
Mn  0.250  0.250  0.750 x4
Cr  0.000  0.000  0.500 x4

=====

- Which formula does entry 5 have?
  YMnCr2

=====

- What is the energy relative to the elements in the twelfth record?
  203 kJ/mol of formula units